Entry 1:
8
Lattice="6.914 0.000 0.000 0.000 3.989 0.000 -2.289 0.000 6.524" Properties=species:S:1:pos:R:3 comment="GGA-PBE DyY2NpP4, relaxed" n_ef_per_ev_cell=10.23 delta_e_f_ev_per_atom=-1.43 space_group="P2/m, No. 10" pbc="T T T"
Dy 0.000 0.000 0.000
Y 2.313 0.000 3.262
Y 3.457 1.995 0.000
Np -1.145 1.995 3.262
P -0.012 0.000 4.864
P 1.122 1.995 1.651
P 3.503 1.995 4.874
P 4.637 0.000 1.660

=====

Entry 2:
12
Lattice="9.354 0.000 0.000 0.000 2.825 0.000 -3.278 0.000 6.961" Properties=species:S:1:pos:R:3 comment="GGA-PBE MgTcIr, relaxed" n_ef_per_ev_cell=7.81 delta_e_f_ev_per_atom=-0.05 e_above_lowest_polymorph_ev_per_fu=0.45 space_group="C2/m, No. 12" pbc="T T T"
Mg 0.502 0.000 2.241
Mg 0.897 1.412 4.719
Mg 5.178 1.412 2.241
Mg 5.574 0.000 4.719
Tc -1.282 0.000 5.881
Tc 2.681 1.412 1.080
Tc 3.394 1.412 5.881
Tc 7.358 0.000 1.080
Ir 0.000 1.412 0.000
Ir -1.639 1.412 3.480
Ir 4.677 0.000 0.000
Ir 3.038 0.000 3.480

=====

Entry 3:
11
Lattice="10.841 -2.668 0.000 10.841 2.668 0.000 -2.065 0.000 8.890" Properties=species:S:1:pos:R:3 comment="GGA-PBE Cs5Cd2Au4, relaxed" n_ef_per_ev_cell=4.98 delta_e_f_ev_per_atom=-0.21 space_group="C2/m, No. 12" pbc="T T T"
Cs 0.000 0.000 0.000
Cs 7.078 0.000 0.584
Cs 6.453 0.000 4.918
Cs 13.164 0.000 3.972
Cs 12.538 0.000 8.305
Cd -0.045 0.000 5.684
Cd 19.661 0.000 3.206
Au 2.873 0.000 6.361
Au 9.715 0.000 2.898
Au 9.901 0.000 5.992
Au 16.743 0.000 2.528

=====

Entry 4:
11
Lattice="8.004 -6.010 0.000 8.004 6.010 0.000 -0.149 0.000 6.652" Properties=species:S:1:pos:R:3 comment="GGA-PBE Ac2CdI8, relaxed" n_ef_per_ev_cell=0.00 space_group="C2/m, No. 12" raw_formation_energy_mev_per_atom=-1092 pbc="T T T"
Ac 3.430 0.000 1.564
Ac 12.429 0.000 5.088
Cd -0.075 0.000 3.326
I 6.667 3.769 4.883
I 2.930 0.000 4.907
I 9.193 3.769 1.769
I 6.500 0.000 1.555
I 9.359 0.000 5.096
I 6.667 -3.769 4.883
I 12.929 0.000 1.745
I 9.193 -3.769 1.769

=====

Entry 5:
5
Lattice="5.320 0.000 0.000 0.000 5.320 0.000 0.000 0.000 5.320" Properties=species:S:1:pos:R:3 comment="GGA-PBE TiTl3Pt, relaxed" n_ef_per_ev_cell=4.56 delta_e_f_ev_per_atom=0.93 e_above_lowest_polymorph_ev_per_fu=1.28 space_group="Pm-3m, No. 221" pbc="T T T"
Ti 0.000 0.000 0.000
Tl 0.000 0.000 2.660
Tl 0.000 2.660 0.000
Tl 2.660 0.000 0.000
Pt 2.660 2.660 2.660

=====

Entry 6:
18
Lattice="2.234 -9.524 0.000 2.234 9.524 0.000 0.000 0.000 13.420" Properties=species:S:1:pos:R:3 comment="GGA-PBE La2NpAgTe5, relaxed" n_ef_per_ev_cell=16.73 space_group="Cmc2_1, No. 36" raw_formation_energy_mev_per_atom=-1068 pbc="T T T"
La 2.234 7.381 6.710
La 2.234 7.158 1.631
La 2.234 -7.158 8.341
La 2.234 -7.381 0.000
Np 2.234 5.813 11.044
Np 2.234 -5.813 4.334
Ag 2.234 1.256 3.623
Ag 2.234 -1.256 10.333
Te 2.234 8.704 11.892
Te 2.234 3.995 6.476
Te 2.234 3.710 2.100
Te 2.234 2.667 10.930
Te 2.234 0.025 7.881
Te 2.234 -0.025 1.171
Te 2.234 -2.667 4.220
Te 2.234 -3.710 8.810
Te 2.234 -3.995 13.186
Te 2.234 -8.704 5.182

=====

Entry 7:
20
Lattice="4.956 2.861 3.841 -4.956 2.861 3.841 0.000 -5.723 3.841" Properties=species:S:1:pos:R:3 comment="GGA-PBE Ti7CuPd12, relaxed" n_ef_per_ev_cell=16.23 delta_e_f_ev_per_atom=-0.33 space_group="R-3, No. 148" pbc="T T T"
Ti 0.000 0.000 0.000
Ti -1.796 -0.175 3.530
Ti 1.050 -1.468 3.530
Ti 0.746 1.643 3.530
Ti -0.746 -1.643 7.992
Ti -1.050 1.468 7.992
Ti 1.796 0.175 7.992
Cu 0.000 0.000 5.761
Pd -4.414 0.639 4.746
Pd -2.760 -3.503 6.776
Pd -2.544 -0.828 6.018
Pd -0.555 -2.617 5.504
Pd 1.654 -4.142 4.746
Pd -1.989 1.789 5.504
Pd 1.989 -1.789 6.018
Pd -1.654 4.142 6.776
Pd 0.555 2.617 6.018
Pd 2.544 0.828 5.504
Pd 2.760 3.503 4.746
Pd 4.414 -0.639 6.776

=====

Entry 8:
10
Lattice="7.050 0.000 0.000 0.000 3.780 0.000 -0.182 0.000 9.456" Properties=species:S:1:pos:R:3 comment="GGA-PBE TiInSe3, relaxed" n_ef_per_ev_cell=4.99 e_above_lowest_polymorph_ev_per_fu=0.00 space_group="P2_1/m, No. 11" raw_formation_energy_mev_per_atom=-775 pbc="T T T"
Ti 0.459 0.945 1.434
Ti 6.409 2.835 8.021
In 2.872 0.945 7.298
In 3.996 2.835 2.157
Se 0.313 0.945 6.528
Se 1.683 2.835 0.010
Se 2.406 0.945 3.134
Se 4.463 2.835 6.322
Se 5.186 0.945 9.445
Se 6.556 2.835 2.928

=====

Entry 9:
12
Lattice="4.063 0.000 0.000 -2.031 3.519 0.000 0.000 0.000 21.725" Properties=species:S:1:pos:R:3 comment="GGA-PBE TlCoS2, relaxed" n_ef_per_ev_cell=19.02 space_group="R-3m, No. 166" raw_formation_energy_mev_per_atom=249 pbc="T T T"
Tl 0.000 0.000 0.000
Tl 0.000 2.346 14.483
Tl 2.031 1.173 7.242
Co 0.000 0.000 10.862
Co 0.000 2.346 3.621
Co 2.031 1.173 18.104
S 0.000 0.000 8.758
S 0.000 0.000 12.966
S 0.000 2.346 1.517
S 0.000 2.346 5.725
S 2.031 1.173 16.000
S 2.031 1.173 20.208

=====

Entry 10:
12
Lattice="3.023 0.000 0.000 -1.512 2.618 0.000 0.000 0.000 25.923" Properties=species:S:1:pos:R:3 comment="GGA-PBE TaTlCr2, relaxed" n_ef_per_ev_cell=9.60 delta_e_f_ev_per_atom=0.59 e_above_lowest_polymorph_ev_per_fu=0.85 space_group="R3m, No. 160" pbc="T T T"
Ta 0.000 0.000 0.000
Ta 0.000 1.746 17.282
Ta 1.512 0.873 8.641
Tl 0.000 0.000 6.046
Tl 0.000 1.746 23.328
Tl 1.512 0.873 14.687
Cr 0.000 0.000 12.306
Cr 0.000 0.000 19.324
Cr 0.000 1.746 3.665
Cr 0.000 1.746 10.683
Cr 1.512 0.873 2.042
Cr 1.512 0.873 20.947

=====

Entry 11:
16
Lattice="4.023 2.323 6.567 -4.023 2.323 6.567 0.000 -4.645 6.567" Properties=species:S:1:pos:R:3 comment="GGA-PBE CePm4Sm3S8, relaxed" n_ef_per_ev_cell=11.02 space_group="R-3m, No. 166" raw_formation_energy_mev_per_atom=-2034 pbc="T T T"
Ce 0.000 0.000 0.000
Pm -4.023 0.000 9.850
Pm -2.011 1.161 3.283
Pm 2.011 1.161 3.283
Pm 0.000 0.000 9.850
Sm -2.011 -1.161 6.567
Sm -2.011 1.161 13.133
Sm 0.000 2.323 6.567
S 0.000 -2.324 8.192
S -2.013 1.162 8.192
S 0.000 0.000 4.940
S -2.013 -1.162 11.508
S 2.013 1.162 8.192
S 0.000 0.000 14.759
S 2.013 -1.162 11.508
S 0.000 2.324 11.508

=====

Entry 12:
10
Lattice="7.676 0.000 0.000 0.000 7.676 0.000 0.000 0.000 2.802" Properties=species:S:1:pos:R:3 comment="GGA-PBE CdRe2Tc2, relaxed" n_ef_per_ev_cell=5.68 delta_e_f_ev_per_atom=0.29 e_above_lowest_polymorph_ev_per_fu=0.13 space_group="P4/mbm, No. 127" pbc="T T T"
Cd 0.000 0.000 0.000
Cd 3.838 3.838 0.000
Re 1.223 2.615 1.401
Re 2.615 6.453 1.401
Re 5.061 1.223 1.401
Re 6.453 5.061 1.401
Tc 0.997 4.835 0.000
Tc 2.841 0.997 0.000
Tc 4.835 6.679 0.000
Tc 6.679 2.841 0.000